Record 1
{
  "formula": "Si3AgI",
  "functional": "PBE",
  "state": "optimized geometry",
  "raw_formation_energy_ev_per_atom": 1.034,
  "dos_at_fermi_per_ev_cell": 4.09,
  "e_above_lowest_polymorph_mev_per_atom": 0,
  "sg": "Pm-3m, No. 221",
  "cell": [[-2.025, -0.189, -4.538], [1.192, -4.817, -0.331], [-4.383, -1.223, 2.007]],
  "species": ["Si", "I", "Ag", "Si", "Si"],
  "frac_coords": [[0.500, 0.000, 0.000], [0.500, 0.500, 0.500], [0.000, 0.000, 0.000], [0.000, 0.500, 0.000], [0.000, 0.000, 0.500]]
}

Record 2
{
  "formula": "Tb2TiS5",
  "functional": "PBE",
  "state": "optimized geometry",
  "raw_formation_energy_ev_per_atom": -1.661,
  "e_above_lowest_polymorph_mev_per_atom": 92,
  "sg": "Cmcm, No. 63",
  "cell": [[-2.441, -1.147, 4.413], [-4.185, -0.949, -5.593], [3.888, -11.774, -0.910]],
  "species": ["Tb", "Tb", "S", "S", "Ti", "S", "Tb", "S", "S", "S", "S", "S", "Tb", "S", "Ti", "S"],
  "frac_coords": [[0.849, 0.699, 0.066], [0.151, 0.301, 0.566], [0.303, 0.606, 0.408], [0.951, 0.902, 0.876], [0.179, 0.358, 0.250], [0.303, 0.606, 0.092], [0.151, 0.301, 0.934], [0.724, 0.447, 0.250], [0.697, 0.394, 0.908], [0.276, 0.553, 0.750], [0.049, 0.098, 0.376], [0.049, 0.098, 0.124], [0.849, 0.699, 0.434], [0.697, 0.394, 0.592], [0.821, 0.642, 0.750], [0.951, 0.902, 0.624]]
}

Record 3
{
  "formula": "Te2PF2",
  "functional": "PBE",
  "state": "optimized geometry",
  "raw_formation_energy_ev_per_atom": -0.515,
  "dos_at_fermi_per_ev_cell": 1.30,
  "e_above_lowest_polymorph_mev_per_atom": 0,
  "sg": "I4/mmm, No. 139",
  "cell": [[3.706, 0.000, 0.000], [0.000, 3.706, 0.000], [1.853, 1.853, 6.460]],
  "species": ["P", "F", "Te", "F", "Te"],
  "frac_coords": [[0.000, 0.000, 0.000], [0.250, 0.750, 0.500], [0.387, 0.387, 0.226], [0.750, 0.250, 0.500], [0.613, 0.613, 0.774]]
}